# 1
First-principles (PBE) data for an optimized crystal structure of Sm5PdPt2, as listed in Alexandria via LeMat-Bulk.

a = 7.8637 Å, b = 7.8637 Å, c = 8.7572 Å
α = 116.68°, β = 116.68°, γ = 90.00°
Atoms (fractional coordinates):
Sm (0.5234, 0.6948, 0.7182)
Sm (0.8052, 0.9766, 0.2818)
Sm (0.0000, 0.0000, 0.0000)
Sm (0.5000, 0.5000, 0.0000)
Sm (0.1948, 0.0234, 0.7182)
Sm (0.6948, 0.1948, 0.7182)
Sm (0.0234, 0.5234, 0.7182)
Sm (0.3052, 0.8052, 0.2818)
Sm (0.9766, 0.4766, 0.2818)
Sm (0.4766, 0.3052, 0.2818)
Pd (0.7500, 0.7500, 0.5000)
Pd (0.2500, 0.2500, 0.5000)
Pt (0.1335, 0.3665, 0.0000)
Pt (0.6335, 0.1335, 0.0000)
Pt (0.3665, 0.8665, 0.0000)
Pt (0.8665, 0.6335, 0.0000)

SG: No. 140
Crystal system: tetragonal
Magnetization (μB/cell): 0.000
Formation energy (meV/atom): -808.9
Electronic total energy (eV/atom): -5.918

# 2
First-principles (PBE) data for an optimized crystal structure of CeNd2Pd, as listed in Alexandria via LeMat-Bulk.

a = 3.8181 Å, b = 3.8181 Å, c = 10.0044 Å
α = 79.00°, β = 79.00°, γ = 60.00°
Atoms (fractional coordinates):
Ce (0.5000, 0.5000, 0.5001)
Nd (0.0659, 0.0659, 0.8024)
Nd (0.2676, 0.2676, 0.1972)
Pd (0.6666, 0.6666, 0.0002)

SG: No. 160
Crystal system: trigonal
Magnetization (μB/cell): 1.621
Formation energy (meV/atom): -163.4
Electronic total energy (eV/atom): -5.329

# 3
First-principles (PBE) data for an optimized crystal structure of Pm3NdN3, as listed in Alexandria via LeMat-Bulk.

a = 6.3430 Å, b = 6.3430 Å, c = 9.8448 Å
α = 71.21°, β = 71.21°, γ = 60.00°
Atoms (fractional coordinates):
Pm (0.4167, 0.7844, 0.6984)
Pm (0.7844, 0.1005, 0.6984)
Pm (0.1005, 0.4167, 0.6984)
Pm (0.8995, 0.5833, 0.3016)
Pm (0.2156, 0.8995, 0.3016)
Pm (0.5833, 0.2156, 0.3016)
Nd (0.3333, 0.3333, 0.0002)
Nd (0.6667, 0.6667, 0.9998)
N (0.3063, 0.5714, 0.1828)
N (0.9395, 0.3063, 0.1828)
N (0.5714, 0.9395, 0.1828)
N (0.4286, 0.0605, 0.8172)
N (0.0605, 0.6937, 0.8172)
N (0.6937, 0.4286, 0.8172)

SG: No. 148
Crystal system: trigonal
Magnetization (μB/cell): 1.024
Raw formation energy (eV per atom): -0.9990
Electronic total energy (eV/atom): -7.284

Q: electronic total energy of number 2 (CeNd2Pd)?
A: -5.329 eV/atom